Here is a geometry-optimized AgHgS structure from Alexandria. Energies are from GGA-PBE.

**Magnetization**: 0.0 Bohr magnetons per cell
**ΔE to the lowest computed polymorph**: 0.000 eV per atom
**Formation energy (no corrections)**: -74 meV/atom
**Space group**: No. 2

Lattice parameters (Å, degrees): 4.5676 4.5909 7.6991 102.48 102.78 91.96
With the nearest neighbours (Å) after each atom.
Positions (direct):
Ag  0.0000  0.0000  0.0000  2 S 2.40
Ag  0.5000  0.5000  0.0000  2 S 2.40
Hg  0.1353  0.6353  0.4004  1 S 2.46, 1 Hg 2.64
Hg  0.8647  0.3647  0.5996  1 S 2.46, 1 Hg 2.64
S  0.4063  0.9035  0.2317  2 Ag 2.40, 1 Hg 2.46
S  0.5937  0.0965  0.7683  2 Ag 2.40, 1 Hg 2.46